AgHgBrF2: optimized geometry, PBE-GGA.

Output
M_tot   0.000 μB/f.u.
Calculated volume   21.62 A^3/atom
Crystal system   monoclinic
Symmetry   P2_1/m, No. 11
ΔE_f (raw)   -0.960 eV/atom

Lattice parameters (Å, degrees): 4.513 6.380 7.781 105.20 90.00 90.00
Fractional coordinates of all 10 atoms:
Ag 0.250 0.295 0.559
Ag 0.750 0.705 0.441
Hg 0.250 0.318 0.097
Hg 0.750 0.682 0.903
Br 0.250 0.001 0.234
Br 0.750 0.999 0.766
F 0.750 0.420 0.622
F 0.250 0.580 0.378
F 0.750 0.505 0.111
F 0.250 0.495 0.889